Arrangement P

First-principles (GGA-PBE) data for crystalline PaGa2Cu2 at its relaxed geometry, as listed in Alexandria via LeMat-Bulk. Values from VASP.

```
&SYSTEM
  ibrav = 0, nat = 10, ntyp = 3
/
ATOMIC_SPECIES
Pa 231.04 Pa.upf
Ga 69.72 Ga.upf
Cu 63.55 Cu.upf
ATOMIC_POSITIONS angstrom
Pa -2.7940 -1.2593 0.8633
Pa -2.9241 -3.5686 6.2356
Ga -3.2180 -3.7180 2.9802
Ga -2.5002 -1.1098 4.1187
Ga 0.2032 -2.1803 1.0837
Ga -5.9214 -2.6475 6.0152
Cu -0.9800 -2.7056 3.0328
Cu -4.7382 -2.1223 4.0661
Cu -0.7178 -2.6082 -1.1385
Cu 0.0000 0.0000 0.0000
CELL_PARAMETERS angstrom
-3.1460 -1.4345 -2.2963
1.7104 -3.7819 0.0192
-5.0004 -2.2196 8.2375
```



Arrangement Q

First-principles (GGA-PBE) data for crystalline PaGa2Cu2 at its relaxed geometry, as listed in Alexandria via LeMat-Bulk. Values from VASP.

```
&SYSTEM
  ibrav = 0, nat = 5, ntyp = 3
/
ATOMIC_SPECIES
Pa 231.04 Pa.upf
Ga 69.72 Ga.upf
Cu 63.55 Cu.upf
ATOMIC_POSITIONS angstrom
Pa 0.0000 0.0000 0.0000
Ga 1.4699 2.3190 1.7932
Ga -0.5714 0.7898 3.1306
Cu -0.8094 3.1176 2.3271
Cu 1.7079 -0.0088 2.5967
CELL_PARAMETERS angstrom
-0.0943 -2.4540 3.2512
3.9881 0.6063 0.5737
-2.9953 4.9565 1.0989
```



Which of them is the most stable? Correct choice: arrangement P.



Arrangement P

First-principles (GGA-PBE) data for crystalline PaGa2Cu3 at its relaxed geometry, as listed in Alexandria via LeMat-Bulk. Values from VASP.

```
&SYSTEM
  ibrav = 0, nat = 12, ntyp = 3
/
ATOMIC_SPECIES
Pa 231.04 Pa.upf
Ga 69.72 Ga.upf
Cu 63.55 Cu.upf
ATOMIC_POSITIONS angstrom
Pa -2.5571 -2.6707 -2.9126
Pa -3.3036 -11.9154 0.2005
Ga -4.7224 -6.7774 -0.2561
Ga -1.1383 -7.8088 -2.4560
Ga -4.3293 -10.1235 -2.3091
Ga -1.5314 -4.4627 -0.4030
Cu -4.2935 -9.2278 0.1338
Cu -5.1055 -7.5073 -2.5043
Cu -3.9255 -4.6797 -1.3983
Cu -1.9352 -9.9064 -1.3138
Cu -0.7553 -7.0788 -0.2078
Cu -1.5672 -5.3583 -2.8459
CELL_PARAMETERS angstrom
-2.4195 -0.9777 -3.4834
1.1394 -7.6266 -1.3700
-4.5806 -5.9819 2.1413
```



Arrangement Q

First-principles (GGA-PBE) data for crystalline PaGa2Cu3 at its relaxed geometry, as listed in Alexandria via LeMat-Bulk. Values from VASP.

```
&SYSTEM
  ibrav = 0, nat = 12, ntyp = 3
/
ATOMIC_SPECIES
Pa 231.04 Pa.upf
Ga 69.72 Ga.upf
Cu 63.55 Cu.upf
ATOMIC_POSITIONS angstrom
Pa -3.1490 -0.5537 0.6720
Pa -9.4471 -1.6612 2.0161
Ga -5.5053 -0.6635 -1.2733
Ga -7.5885 -3.2792 0.2062
Ga -11.2307 -3.9197 0.9835
Ga -1.8630 -0.0230 -2.0506
Cu -6.2981 -1.1075 1.3441
Cu 0.0000 0.0000 0.0000
Cu -8.0306 -1.1075 -0.7343
Cu -1.1599 -2.1488 -1.1657
Cu -11.9338 -1.7939 0.0986
Cu -5.0631 -2.8351 -0.3327
CELL_PARAMETERS angstrom
-1.1077 2.3592 -3.2467
0.6102 -4.0869 -0.5085
-12.5962 -2.2150 2.6881
```



Which of them is the most stable? Correct choice: arrangement Q.



Arrangement P

First-principles (GGA-PBE) data for crystalline PaGa3Cu at its relaxed geometry, as listed in Alexandria via LeMat-Bulk. Values from VASP.

```
&SYSTEM
  ibrav = 0, nat = 10, ntyp = 3
/
ATOMIC_SPECIES
Pa 231.04 Pa.upf
Ga 69.72 Ga.upf
Cu 63.55 Cu.upf
ATOMIC_POSITIONS angstrom
Pa 2.0861 3.3405 5.8103
Pa -0.6967 4.8308 1.9368
Ga 0.4013 2.3579 0.4051
Ga 0.9881 5.8133 7.3419
Ga 0.4013 2.3579 3.4684
Ga 0.9881 5.8133 4.2787
Ga 0.1516 0.8976 5.8103
Ga 1.2379 7.2736 1.9368
Cu -0.2635 7.3806 5.8103
Cu 1.6529 0.7906 1.9368
CELL_PARAMETERS angstrom
2.9507 -0.5008 0.0000
-1.5613 8.6720 0.0000
0.0000 0.0000 7.7471
```



Arrangement Q

First-principles (GGA-PBE) data for crystalline PaGa3Cu at its relaxed geometry, as listed in Alexandria via LeMat-Bulk. Values from VASP.

```
&SYSTEM
  ibrav = 0, nat = 5, ntyp = 3
/
ATOMIC_SPECIES
Pa 231.04 Pa.upf
Ga 69.72 Ga.upf
Cu 63.55 Cu.upf
ATOMIC_POSITIONS angstrom
Pa 1.7181 1.0400 6.1617
Ga 2.2462 3.9072 4.6380
Ga 0.4706 1.9070 3.2436
Ga 2.9513 2.4341 2.5897
Cu -0.1141 3.5165 4.9423
CELL_PARAMETERS angstrom
4.0293 -0.0008 1.3925
-0.4807 4.0000 1.3959
0.2534 0.2811 5.7969
```



Which of them is the most stable? Correct choice: arrangement Q.



Arrangement P

First-principles (GGA-PBE) data for crystalline Pa2Ga3Cu at its relaxed geometry, as listed in Alexandria via LeMat-Bulk. Values from VASP.

```
&SYSTEM
  ibrav = 0, nat = 6, ntyp = 3
/
ATOMIC_SPECIES
Pa 231.04 Pa.upf
Ga 69.72 Ga.upf
Cu 63.55 Cu.upf
ATOMIC_POSITIONS angstrom
Pa 0.4375 0.5002 1.6436
Pa 3.3178 1.5446 4.5519
Ga 2.5579 2.8205 1.6971
Ga 1.9545 2.1306 -0.5697
Ga 0.9108 3.1860 3.4218
Cu 1.4952 3.8542 5.6173
CELL_PARAMETERS angstrom
3.9336 0.0000 -1.0471
-0.2986 3.9479 -1.1220
-0.0273 0.0728 7.8100
```



Arrangement Q

First-principles (GGA-PBE) data for crystalline Pa2Ga3Cu at its relaxed geometry, as listed in Alexandria via LeMat-Bulk. Values from VASP.

```
&SYSTEM
  ibrav = 0, nat = 6, ntyp = 3
/
ATOMIC_SPECIES
Pa 231.04 Pa.upf
Ga 69.72 Ga.upf
Cu 63.55 Cu.upf
ATOMIC_POSITIONS angstrom
Pa -0.6741 -0.5867 1.9131
Pa -0.5590 3.4549 0.9408
Ga -2.7618 5.7133 0.9109
Ga -2.0141 1.0918 -0.3476
Ga -3.2324 3.8693 2.4816
Cu -2.8616 1.5772 1.8574
CELL_PARAMETERS angstrom
-3.6391 -0.2211 -1.3500
-1.3354 -1.2521 3.8047
-1.1286 6.9761 1.8997
```



Which of them is the most stable? Correct choice: arrangement Q.



Arrangement P

First-principles (GGA-PBE) data for crystalline Pa2Ga3Cu2 at its relaxed geometry, as listed in Alexandria via LeMat-Bulk. Values from VASP.

```
&SYSTEM
  ibrav = 0, nat = 14, ntyp = 3
/
ATOMIC_SPECIES
Pa 231.04 Pa.upf
Ga 69.72 Ga.upf
Cu 63.55 Cu.upf
ATOMIC_POSITIONS angstrom
Pa 0.6716 1.6622 2.8168
Pa 3.5456 4.9867 5.5116
Pa 4.0187 1.6622 7.4960
Pa 0.1985 4.9867 0.8324
Ga 0.9236 4.9867 3.8738
Ga 3.2936 1.6622 4.4546
Ga 2.3785 2.8979 0.6161
Ga 1.8387 3.7511 7.7123
Ga 1.8387 6.2224 7.7123
Ga 2.3785 0.4266 0.6161
Cu 2.9114 6.2512 2.8516
Cu 1.3057 0.3978 5.4768
Cu 1.3057 2.9267 5.4768
Cu 2.9114 3.7223 2.8516
CELL_PARAMETERS angstrom
4.2231 0.0000 -1.0068
0.0000 6.6490 0.0000
-0.0060 0.0000 9.3352
```



Arrangement Q

First-principles (GGA-PBE) data for crystalline Pa2Ga3Cu2 at its relaxed geometry, as listed in Alexandria via LeMat-Bulk. Values from VASP.

```
&SYSTEM
  ibrav = 0, nat = 7, ntyp = 3
/
ATOMIC_SPECIES
Pa 231.04 Pa.upf
Ga 69.72 Ga.upf
Cu 63.55 Cu.upf
ATOMIC_POSITIONS angstrom
Pa 0.7785 1.5592 7.0043
Pa 3.8463 1.5592 3.5969
Ga 1.3634 0.0000 4.3296
Ga 0.0000 0.0000 0.0000
Ga 3.2614 0.0000 6.2716
Cu 1.9374 0.0000 1.7324
Cu 2.6874 0.0000 8.8688
CELL_PARAMETERS angstrom
4.4260 0.0000 0.9861
0.0000 3.1184 0.0000
0.1988 0.0000 9.6151
```



Which of them is the most stable? Correct choice: arrangement P.



Arrangement P

First-principles (GGA-PBE) data for crystalline Pa2Ga2Cu3 at its relaxed geometry, as listed in Alexandria via LeMat-Bulk. Values from VASP.

```
&SYSTEM
  ibrav = 0, nat = 7, ntyp = 3
/
ATOMIC_SPECIES
Pa 231.04 Pa.upf
Ga 69.72 Ga.upf
Cu 63.55 Cu.upf
ATOMIC_POSITIONS angstrom
Pa 0.0000 1.9181 8.1737
Pa 0.0000 0.0000 3.0381
Ga 1.4893 1.9181 4.8281
Ga 1.4893 0.0000 6.3837
Cu 1.4893 1.9181 1.2091
Cu 1.4893 0.0000 10.0026
Cu 0.0000 0.0000 0.0000
CELL_PARAMETERS angstrom
2.9787 0.0000 0.0000
0.0000 3.8362 0.0000
0.0000 -1.9181 11.2118
```



Arrangement Q

First-principles (GGA-PBE) data for crystalline Pa2Ga2Cu3 at its relaxed geometry, as listed in Alexandria via LeMat-Bulk. Values from VASP.

```
&SYSTEM
  ibrav = 0, nat = 14, ntyp = 3
/
ATOMIC_SPECIES
Pa 231.04 Pa.upf
Ga 69.72 Ga.upf
Cu 63.55 Cu.upf
ATOMIC_POSITIONS angstrom
Pa 1.4330 -2.8946 0.2503
Pa 1.7063 -8.1500 -0.4182
Pa 1.5323 -7.8294 3.4273
Pa 1.6070 -3.2152 -3.5952
Ga 0.9881 -6.6783 -3.1626
Ga 2.1512 -4.3663 2.9946
Ga 2.8195 -5.6987 0.9041
Ga 0.3197 -5.3459 -1.0720
Cu 2.7646 -5.5668 -1.7263
Cu 0.3747 -5.4778 1.5584
Cu -0.7285 -3.2247 -1.7231
Cu 3.8678 -7.8199 1.5552
Cu 4.5005 -9.0814 -0.4241
Cu -1.3613 -1.9632 0.2561
CELL_PARAMETERS angstrom
-3.7462 -1.8558 -0.0148
1.7402 -3.4694 -5.4434
5.1452 -5.7194 5.2902
```



Which of them is the most stable? Correct choice: arrangement Q.